Density functional theory data (PBE) for crystalline NaHo6S8 at its relaxed geometry.

The space group is Fm-3m (No. 225) and the conventional cell measures 10.9650, 10.9650 and 10.9650 Å, with angles of 90.00, 90.00 and 90.00 degrees. The inequivalent atoms are Na at (0.0000, 0.0000, 0.0000), Ho at (0.0000, 0.2500, 0.2500), S at (0.0000, 0.0000, 0.2530) and S at (0.2500, 0.2500, 0.2500).

The calculation puts the total DFT energy (no corrections) at -91.38 eV/f.u. The total moment comes out at 0.0000 μB per atom. As for the crystal system: cubic. The calculation puts the raw formation energy at -1.971 eV/atom. The value obtained for the density of states at the Fermi level is 0.288 states/eV per atom.